# Y2Tm2Sb3 PBE relaxed
# - formation energy from raw total energies (meV per atom) = -971
# - E above lowest polymorph (eV per atom) = 0.000
data_Y2Tm2Sb3
_chemical_formula_sum 'Y8 Tm8 Sb12'
_cell_length_a 9.1469
_cell_length_b 9.1469
_cell_length_c 9.1469
_cell_angle_alpha 90.00
_cell_angle_beta 90.00
_cell_angle_gamma 90.00
_space_group_name_H-M_alt 'I 21 3'
_space_group_IT_number 199
_space_group_name_Hall 'I 2b 2c 3'
loop_
_atom_site_label
_atom_site_fract_x
_atom_site_fract_y
_atom_site_fract_z
_atom_site_occupancy
Y1 0.1763 0.1763 0.1763 1
Tm1 0.0720 0.4280 0.5720 1
Sb1 0.0000 0.2500 0.8727 1

# Nd3CuIr2 PBE relaxed
# - formation energy (meV/atom) = -539
data_Nd3CuIr2
_chemical_formula_sum 'Nd12 Cu4 Ir8'
_cell_length_a 11.7352
_cell_length_b 4.1889
_cell_length_c 11.6575
_cell_angle_alpha 90.00
_cell_angle_beta 90.00
_cell_angle_gamma 90.00
_space_group_name_H-M_alt 'P n m a'
_space_group_IT_number 62
loop_
_space_group_symop_operation_xyz
'x,y,z'
'-x,-y,-z'
'-x+1/2,-y,z+1/2'
'x+1/2,y,-z+1/2'
'x+1/2,-y+1/2,-z+1/2'
'-x+1/2,y+1/2,z+1/2'
'-x,y+1/2,-z'
'x,-y+1/2,z'
loop_
_atom_site_label
_atom_site_fract_x
_atom_site_fract_y
_atom_site_fract_z
_atom_site_occupancy
Nd1 0.0539 0.2500 0.1235 1
Nd2 0.1211 0.7500 0.5633 1
Nd3 0.2022 0.2500 0.8129 1
Cu1 0.1284 0.2500 0.3748 1
Ir1 0.0184 0.7500 0.3158 1
Ir2 0.1815 0.7500 0.9898 1

Density functional theory data (PBE) for crystalline InNiBi2H at its relaxed geometry.

Structure (CIF):
```
data_InNiBi2H
_chemical_formula_sum 'In1 Ni1 Bi2 H1'
_cell_length_a 5.5434
_cell_length_b 5.5434
_cell_length_c 3.3849
_cell_angle_alpha 90.00
_cell_angle_beta 90.00
_cell_angle_gamma 90.00
_space_group_name_H-M_alt 'P 4/m m m'
_space_group_IT_number 123
_space_group_name_Hall '-P 4 2'
loop_
_atom_site_label
_atom_site_fract_x
_atom_site_fract_y
_atom_site_fract_z
_atom_site_occupancy
In1 0.0000 0.0000 0.0000 1
Ni1 0.5000 0.5000 0.5000 1
Bi1 0.0000 0.5000 0.5000 1
H1 0.5000 0.5000 0.0000 1
```

# K2Na3ThF12 PBE relaxed
# - formation energy from raw total energies (meV per atom) = -2586
data_K2Na3ThF12
_chemical_formula_sum 'K6 Na9 Th3 F36'
_cell_length_a 7.8586
_cell_length_b 7.8586
_cell_length_c 20.7869
_cell_angle_alpha 90.00
_cell_angle_beta 90.00
_cell_angle_gamma 120.00
_space_group_name_H-M_alt 'R -3 m'
_space_group_IT_number 166
_space_group_name_Hall '-R 3 2"'
loop_
_atom_site_label
_atom_site_fract_x
_atom_site_fract_y
_atom_site_fract_z
_atom_site_occupancy
K1 0.0000 0.0000 0.0877 1
Na1 0.0000 0.5000 0.0000 1
Th1 0.0000 0.0000 0.5000 1
F1 0.0116 0.5058 0.6539 1
F2 0.0607 0.5304 0.1062 1

# TlAg PBE relaxed
# - formation energy (meV/atom) = 119
data_TlAg
_chemical_formula_sum 'Tl2 Ag2'
_cell_length_a 3.2450
_cell_length_b 5.3709
_cell_length_c 5.8773
_cell_angle_alpha 73.38
_cell_angle_beta 74.53
_cell_angle_gamma 89.95
_space_group_name_H-M_alt 'P -1'
_space_group_IT_number 2
loop_
_space_group_symop_operation_xyz
'x,y,z'
'-x,-y,-z'
loop_
_atom_site_label
_atom_site_fract_x
_atom_site_fract_y
_atom_site_fract_z
_atom_site_occupancy
Tl1 0.1074 0.3132 0.2946 1
Ag1 0.3464 0.1604 0.8020 1

# YAu3 PBE relaxed
# - formation energy (meV/atom) = -714
data_YAu3
_chemical_formula_sum 'Y2 Au6'
_cell_length_a 5.0244
_cell_length_b 6.2922
_cell_length_c 5.1485
_cell_angle_alpha 90.00
_cell_angle_beta 90.00
_cell_angle_gamma 90.00
_space_group_name_H-M_alt 'P m m n'
_space_group_IT_number 59
loop_
_space_group_symop_operation_xyz
'x,y,z'
'-x,-y,-z'
'-x+1/2,-y+1/2,z'
'x+1/2,y+1/2,-z'
'x+1/2,-y,-z'
'-x+1/2,y,z'
'-x,y+1/2,-z'
'x,-y+1/2,z'
loop_
_atom_site_label
_atom_site_fract_x
_atom_site_fract_y
_atom_site_fract_z
_atom_site_occupancy
Y1 0.2500 0.2500 0.1582 1
Au1 0.2500 0.5058 0.6650 1
Au2 0.2500 0.7500 0.1733 1

# Cu2MoN PBE relaxed
# - formation energy from raw total energies (meV per atom) = 518
data_Cu2MoN
_chemical_formula_sum 'Cu8 Mo4 N4'
_cell_length_a 6.8236
_cell_length_b 6.8236
_cell_length_c 4.1331
_cell_angle_alpha 90.00
_cell_angle_beta 90.00
_cell_angle_gamma 90.00
_space_group_name_H-M_alt 'I -4 2 d'
_space_group_IT_number 122
_space_group_name_Hall 'I -4 2bw'
loop_
_atom_site_label
_atom_site_fract_x
_atom_site_fract_y
_atom_site_fract_z
_atom_site_occupancy
Cu1 0.1681 0.2500 0.1250 1
Mo1 0.0000 0.0000 0.5000 1
N1 0.0000 0.0000 0.0000 1

# CeNdPuN3 PBE relaxed
# - formation energy from raw total energies (meV per atom) = -964
data_CeNdPuN3
_chemical_formula_sum 'Ce2 Nd2 Pu2 N6'
_cell_length_a 7.2404
_cell_length_b 3.6863
_cell_length_c 8.4658
_cell_angle_alpha 90.00
_cell_angle_beta 96.14
_cell_angle_gamma 90.00
_space_group_name_H-M_alt 'P 1 21/m 1'
_space_group_IT_number 11
loop_
_space_group_symop_operation_xyz
'x,y,z'
'-x,-y,-z'
'-x,y+1/2,-z'
'x,-y+1/2,z'
loop_
_atom_site_label
_atom_site_fract_x
_atom_site_fract_y
_atom_site_fract_z
_atom_site_occupancy
Ce1 0.1314 0.2500 0.1589 1
Nd1 0.3453 0.7500 0.8630 1
Pu1 0.4478 0.7500 0.4225 1
N1 0.1035 0.2500 0.8871 1
N2 0.2779 0.2500 0.4184 1
N3 0.3964 0.7500 0.1533 1

# CaPF3 PBE relaxed
# - formation energy from raw total energies (meV per atom) = -1533
# - E above lowest polymorph (eV per atom) = 0.384
data_CaPF3
_chemical_formula_sum 'Ca1 P1 F3'
_cell_length_a 4.3924
_cell_length_b 4.3924
_cell_length_c 4.3924
_cell_angle_alpha 90.00
_cell_angle_beta 90.00
_cell_angle_gamma 90.00
_space_group_name_H-M_alt 'P m -3 m'
_space_group_IT_number 221
_space_group_name_Hall '-P 4 2 3'
loop_
_atom_site_label
_atom_site_fract_x
_atom_site_fract_y
_atom_site_fract_z
_atom_site_occupancy
Ca1 0.0000 0.0000 0.0000 1
P1 0.5000 0.5000 0.5000 1
F1 0.0000 0.5000 0.5000 1

# Ho5TcSb2 PBE relaxed
# - formation energy from raw total energies (meV per atom) = -190
data_Ho5TcSb2
_chemical_formula_sum 'Ho20 Tc4 Sb8'
_cell_length_a 5.5894
_cell_length_b 15.3956
_cell_length_c 13.8664
_cell_angle_alpha 90.00
_cell_angle_beta 90.00
_cell_angle_gamma 90.00
_space_group_name_H-M_alt 'C m c m'
_space_group_IT_number 63
_space_group_name_Hall '-C 2c 2'
loop_
_atom_site_label
_atom_site_fract_x
_atom_site_fract_y
_atom_site_fract_z
_atom_site_occupancy
Ho1 0.0000 0.0522 0.1188 1
Ho2 0.0000 0.2827 0.0990 1
Ho3 0.0000 0.2942 0.7500 1
Tc1 0.0000 0.1727 0.2500 1
Sb1 0.0000 0.1466 0.5766 1

# MnNi2Mo PBE relaxed
# - formation energy (meV/atom) = 143
# - E above lowest polymorph (eV per atom) = 0.180
data_MnNi2Mo
_chemical_formula_sum 'Mn3 Ni6 Mo3'
_cell_length_a 2.6446
_cell_length_b 2.6446
_cell_length_c 25.4108
_cell_angle_alpha 90.00
_cell_angle_beta 90.00
_cell_angle_gamma 120.00
_space_group_name_H-M_alt 'R -3 m'
_space_group_IT_number 166
_space_group_name_Hall '-R 3 2"'
loop_
_atom_site_label
_atom_site_fract_x
_atom_site_fract_y
_atom_site_fract_z
_atom_site_occupancy
Mn1 0.0000 0.0000 0.0000 1
Ni1 0.0000 0.0000 0.2534 1
Mo1 0.0000 0.0000 0.5000 1

# La5Ir PBE relaxed
# - formation energy (meV/atom) = -209
# - E above lowest polymorph (eV per atom) = 0.026
data_La5Ir
_chemical_formula_sum 'La5 Ir1'
_cell_length_a 3.6779
_cell_length_b 3.6779
_cell_length_c 14.5296
_cell_angle_alpha 90.00
_cell_angle_beta 90.00
_cell_angle_gamma 90.00
_space_group_name_H-M_alt 'P 4/m m m'
_space_group_IT_number 123
_space_group_name_Hall '-P 4 2'
loop_
_atom_site_label
_atom_site_fract_x
_atom_site_fract_y
_atom_site_fract_z
_atom_site_occupancy
La1 0.0000 0.0000 0.0000 1
La2 0.0000 0.0000 0.3866 1
La3 0.5000 0.5000 0.1768 1
Ir1 0.5000 0.5000 0.5000 1

no.,uncorrected energy (eV/atom),theoretical density (g/cm³)
1,-5.86,7.6
2,-6.56,10.2
3,-3.78,9.5
4,-4.59,2.7
5,-2.49,11.0
6,-4.79,13.9
7,-6.32,8.2
8,-9.30,8.4
9,-4.14,2.5
10,-5.38,6.5
11,-7.75,8.7
12,-5.79,7.5